Version P
First-principles (PBE) data for crystalline Ba2Zn3Ga at its relaxed geometry, as listed in Alexandria via LeMat-Bulk.

Cell and atoms, written as POSCAR:
```
Ba2Zn3Ga
1.0
6.222 -2.249 0.000
6.222 2.249 0.000
-4.831 0.000 6.142
Ba Zn Ga
2 3 1
Cartesian
0.000 0.000 0.000
-1.560 0.000 3.760
3.590 0.000 1.195
1.977 0.000 3.313
7.293 0.000 2.483
8.897 0.000 0.406
```

- DOS at the Fermi energy (states/eV/cell) = 4.1
- size of the total moment (μB per formula unit) = 0.00
- density (g/cm³) = 5.2

***

Version Q
First-principles (PBE) data for crystalline Ba2Zn3Ga at its relaxed geometry, as listed in Alexandria via LeMat-Bulk.

Cell and atoms, written as POSCAR:
```
Ba2Zn3Ga
1.0
0.000 4.669 8.110
4.639 0.000 8.110
4.639 4.669 0.000
Ba Zn Ga
4 6 2
Cartesian
4.639 2.175 8.110
2.320 2.334 4.055
6.959 7.003 12.165
4.639 7.163 8.110
4.639 4.669 2.774
6.867 4.669 6.756
6.867 4.669 9.464
2.411 4.669 6.756
2.411 4.669 9.464
4.639 4.669 13.446
4.639 4.669 5.454
4.639 4.669 10.766
```

- DOS at the Fermi energy (states/eV/cell) = 11.1
- size of the total moment (μB per formula unit) = 0.00
- density (g/cm³) = 5.1

***

Relative energies in meV per atom: version P 0; version Q 8

***

Version P
First-principles (PBE) data for crystalline Ba3ZnGa4 at its relaxed geometry, as listed in Alexandria via LeMat-Bulk.

Cell and atoms, written as POSCAR:
```
Ba3ZnGa4
1.0
-2.635 2.759 9.125
2.635 -2.759 9.125
2.635 2.759 -9.125
Ba Zn Ga
3 1 4
Cartesian
0.000 0.000 0.000
2.635 0.000 3.739
0.000 2.759 5.386
0.000 0.000 9.125
1.282 2.759 -2.167
1.352 0.000 6.958
1.282 2.759 2.167
1.352 0.000 11.292
```

- DOS at the Fermi energy (states/eV/cell) = 5.4
- size of the total moment (μB per formula unit) = 0.00
- density (g/cm³) = 4.7

***

Version Q
First-principles (PBE) data for crystalline Ba3ZnGa4 at its relaxed geometry, as listed in Alexandria via LeMat-Bulk.

Cell and atoms, written as POSCAR:
```
Ba3ZnGa4
1.0
6.586 0.000 0.000
0.000 12.116 0.000
0.000 0.000 6.159
Ba Zn Ga
6 2 8
Cartesian
1.646 0.118 1.071
1.646 3.029 3.562
1.646 5.940 1.071
4.939 6.177 5.088
4.939 9.087 2.597
4.939 11.998 5.088
1.646 9.087 1.928
4.939 3.029 4.231
0.200 9.087 5.853
1.646 7.641 4.140
1.646 10.534 4.140
3.093 9.087 5.853
3.493 3.029 0.306
4.939 1.582 2.019
4.939 4.476 2.019
6.386 3.029 0.306
```

- DOS at the Fermi energy (states/eV/cell) = 7.2
- size of the total moment (μB per formula unit) = 0.00
- density (g/cm³) = 5.1

***

Relative energies in meV per atom: version P 92; version Q 0

***

Version P
First-principles (PBE) data for crystalline BaZrGa3 at its relaxed geometry, as listed in Alexandria via LeMat-Bulk.

Cell and atoms, written as POSCAR:
```
BaZrGa3
1.0
5.308 0.000 0.000
0.000 5.308 0.000
0.000 0.000 5.308
Ba Zr Ga
1 1 3
Cartesian
0.000 0.000 0.000
2.654 2.654 2.654
0.000 2.654 2.654
2.654 0.000 2.654
2.654 2.654 0.000
```

- DOS at the Fermi energy (states/eV/cell) = 6.4
- size of the total moment (μB per formula unit) = 0.00
- density (g/cm³) = 4.9

***

Version Q
First-principles (PBE) data for crystalline BaZrGa3 at its relaxed geometry, as listed in Alexandria via LeMat-Bulk.

Cell and atoms, written as POSCAR:
```
BaZrGa3
1.0
5.515 0.000 0.000
0.000 5.515 0.000
0.000 0.000 5.515
Ba Zr Ga
1 1 3
Cartesian
0.000 0.000 0.000
2.757 2.757 2.757
0.000 0.000 2.757
0.000 2.757 0.000
2.757 0.000 0.000
```

- DOS at the Fermi energy (states/eV/cell) = 6.2
- size of the total moment (μB per formula unit) = 1.20
- density (g/cm³) = 4.3

***

Relative energies in meV per atom: version P 0; version Q 1480